A plane-wave DFT calculation with PBE was carried out for BePd4Au after structural relaxation.

extended XYZ file:
```
12
Lattice="3.958 -5.692 0.000 3.958 5.692 0.000 -2.804 0.000 3.952" Properties=species:S:1:pos:R:3 pbc="T T T"
Be 1.855 4.061 2.964
Be 3.257 -4.061 0.988
Pd 0.322 2.375 3.353
Pd 1.483 0.706 1.577
Pd 0.081 -0.706 3.553
Pd 3.389 2.375 2.575
Pd 1.724 -2.375 1.377
Pd 5.032 0.706 0.399
Pd 3.630 -0.706 2.375
Pd 4.791 -2.375 0.599
Au 3.257 4.751 0.988
Au 1.855 -4.751 2.964
```

Calculated values
* offset from the most stable computed form: 0.424 eV/f.u.
* formation energy: -169 meV per atom
* DOS at the Fermi energy: 0.762 states/eV per atom
* VASP energy: -4.798 eV/atom
* SG: C2/c, No. 15